DFT (PBE) results for an optimized crystal structure of Pm2Zn12Ni3Ag.

Values from the calculation:
Fermi-level density of states ... 8.5 states/eV/f.u.
ΔH_f (0 K) ... 0.21 eV/atom
Total DFT energy (no corrections) ... -2.29 eV per atom

The structure in extended XYZ format:
```
18
Lattice="-7.011 2.938 1.823 -6.079 -4.119 -2.681 -3.912 -4.001 5.458" Properties=species:S:1:pos:R:3 pbc="T T T"
Zn -5.189 -2.672 -0.677
Zn -12.855 -2.567 1.361
Zn -8.207 -1.276 4.560
Zn -4.147 -2.615 3.239
Zn -7.703 -5.092 2.124
Zn -5.637 0.723 1.490
Zn -11.364 -5.905 3.110
Zn -9.299 -0.090 2.476
Zn -11.813 -2.510 5.277
Zn -7.623 -3.843 4.442
Zn -8.795 -3.906 0.040
Zn -9.378 -1.340 0.158
Pm -10.211 -3.112 2.763
Pm -6.790 -2.070 1.837
Ni -1.956 -2.000 2.729
Ni -3.039 -2.059 -1.341
Ni -3.505 1.469 0.912
Ag 0.000 0.000 0.000
```

---

DFT (PBE) results for an optimized crystal structure of UPaHg.

Values from the calculation:
Energy above the most stable polymorph in this dataset ... 0 meV per atom
Fermi-level density of states ... 6.0 states/eV/f.u.
ΔH_f (0 K) ... 0.16 eV/atom
Total DFT energy (no corrections) ... -6.86 eV per atom

The structure in extended XYZ format:
```
3
Lattice="-2.650 -0.323 -1.358 1.103 -2.273 -1.610 -1.440 -3.673 6.986" Properties=species:S:1:pos:R:3 pbc="T T T"
Pa -1.466 -3.291 3.643
U -1.518 -2.969 0.365
Hg -0.004 -0.009 0.010
```

---

DFT (PBE) results for an optimized crystal structure of CsBaMg2I.

Values from the calculation:
Formation energy without anion corrections ... 195 meV/atom
Fermi-level density of states ... 4.3 states/eV/f.u.
Total DFT energy (no corrections) ... -1.31 eV per atom

The structure in extended XYZ format:
```
5
Lattice="6.674 0.000 0.000 0.000 6.794 0.000 0.000 0.000 6.674" Properties=species:S:1:pos:R:3 pbc="T T T"
Ba 3.337 3.397 3.337
I 0.000 3.397 0.000
Mg 0.000 0.000 3.337
Mg 3.337 0.000 0.000
Cs 0.000 0.000 0.000
```

---

DFT (PBE) results for an optimized crystal structure of MgCdH6Rh2.

Values from the calculation:
Fermi-level density of states ... 1.0 states/eV/f.u.
Total DFT energy (no corrections) ... -3.83 eV per atom

The structure in extended XYZ format:
```
20
Lattice="5.832 -0.202 0.364 -0.915 5.763 0.364 -1.052 -1.190 5.232" Properties=species:S:1:pos:R:3 pbc="T T T"
Rh -0.159 1.441 1.954
Rh 0.923 -0.576 4.570
Rh 2.942 4.947 1.391
Rh 4.024 2.931 4.007
Cd 4.029 -0.198 4.288
Cd -0.164 4.569 1.672
H 0.962 1.340 0.653
H 0.687 0.524 3.269
H 4.952 2.207 1.257
H 0.962 2.581 2.290
H 3.178 3.847 2.692
H -1.087 2.164 4.704
H 1.947 3.696 1.055
H 2.807 -0.219 2.088
H 1.918 0.676 4.906
H 2.903 3.031 5.308
H 1.058 4.590 3.873
H 2.904 1.790 3.671
Mg 0.927 2.544 4.288
Mg 2.938 1.827 1.672
```

---

DFT (PBE) results for an optimized crystal structure of LaScGaNi.

Values from the calculation:
Fermi-level density of states ... 3.6 states/eV/f.u.
ΔH_f (0 K) ... -0.36 eV/atom
Total DFT energy (no corrections) ... -5.37 eV per atom

The structure in extended XYZ format:
```
4
Lattice="4.945 0.000 0.000 2.473 4.283 0.000 2.473 1.428 4.038" Properties=species:S:1:pos:R:3 pbc="T T T"
Sc 4.945 2.855 2.019
Ni 2.473 1.428 1.009
La 0.000 0.000 0.000
Ga 7.418 4.283 3.028
```

---

DFT (PBE) results for an optimized crystal structure of KGa2Sn.

Values from the calculation:
Fermi-level density of states ... 1.7 states/eV/f.u.
ΔH_f (0 K) ... -0.02 eV/atom
Total DFT energy (no corrections) ... -2.81 eV per atom

The structure in extended XYZ format:
```
8
Lattice="4.697 0.000 0.000 0.000 4.697 0.000 0.000 0.000 10.554" Properties=species:S:1:pos:R:3 pbc="T T T"
K 0.000 2.349 8.009
K 2.349 0.000 2.544
Ga 0.000 0.000 5.277
Ga 2.349 0.000 9.907
Ga 2.349 2.349 5.277
Ga 0.000 2.349 0.646
Sn 2.349 0.000 6.919
Sn 0.000 2.349 3.634
```

---

DFT (PBE) results for an optimized crystal structure of Er.

Values from the calculation:
Energy above the most stable polymorph in this dataset ... 6 meV per atom
Fermi-level density of states ... 1.5 states/eV/f.u.
ΔH_f (0 K) ... 0.01 eV/atom
Total DFT energy (no corrections) ... -4.56 eV per atom

The structure in extended XYZ format:
```
4
Lattice="3.515 0.000 0.000 -1.758 3.044 0.000 0.000 0.000 11.290" Properties=species:S:1:pos:R:3 pbc="T T T"
Er 1.758 1.015 8.468
Er 0.000 0.000 5.645
Er 0.000 2.030 2.823
Er 0.000 0.000 0.000
```

---

DFT (PBE) results for an optimized crystal structure of Ta2ReH.

Values from the calculation:
Energy above the most stable polymorph in this dataset ... 0 meV per atom
Fermi-level density of states ... 2.9 states/eV/f.u.
Total DFT energy (no corrections) ... -9.82 eV per atom

The structure in extended XYZ format:
```
4
Lattice="3.007 0.000 0.000 1.504 2.604 0.000 1.504 0.868 6.860" Properties=species:S:1:pos:R:3 pbc="T T T"
Ta 1.504 0.868 1.310
Ta 4.511 2.604 5.551
H 0.000 0.000 0.000
Re 3.007 1.736 3.430
```